## AcCo2Ge3 (PBE-GGA)

Data for an optimized crystal structure of AcCo2Ge3.

Unit cell a=8.811 b=8.811 c=8.811 alpha=60.00 beta=60.00 gamma=60.00
Fractional positions:
Ac: 0.000 0.000 0.000
Ac: 0.000 0.500 0.000
Ac: 0.500 0.000 0.000
Ac: 0.000 0.000 0.500
Co: 0.254 0.254 0.254
Co: 0.254 0.738 0.254
Co: 0.738 0.254 0.254
Co: 0.254 0.254 0.738
Co: 0.746 0.262 0.746
Co: 0.746 0.746 0.746
Co: 0.262 0.746 0.746
Co: 0.746 0.746 0.262
Ge: 0.436 0.436 0.814
Ge: 0.814 0.814 0.436
Ge: 0.814 0.436 0.436
Ge: 0.436 0.814 0.814
Ge: 0.436 0.814 0.436
Ge: 0.814 0.436 0.814
Ge: 0.564 0.186 0.186
Ge: 0.186 0.564 0.564
Ge: 0.186 0.186 0.564
Ge: 0.564 0.564 0.186
Ge: 0.564 0.186 0.564
Ge: 0.186 0.564 0.186

ΔH_f (0 K)	-0.0375	eV per atom
total magnetic moment	0.000	μB per atom
ρ	7.7	Mg/m³
V	483.69	Å³/cell
space group	No. 227
E_tot	-129.59	eV/cell